# 1
Below is a geometry-optimized CdIn2Fe structure, with properties calculated at the GGA-PBEsol level.

a b c (Å): 3.1296 3.1296 9.3088
angles (deg): 80.32 80.32 60.00
Closest atoms and distances in Å follow each position.
Sites, in units of the cell vectors:
Fe: 0.0000 0.0000 0.0000  6 In 2.72
In: 0.7409 0.7409 0.7772  3 Fe 2.72
In: 0.2591 0.2591 0.2228  3 Fe 2.72
Cd: 0.5000 0.5000 0.5000  6 In 3.11, 6 Cd 3.13

Calculated values
Energy of formation from the pure elements (meV per atom): 259
SG: No. 166
Fermi-level density of states (states/eV per atom): 0.687
V (Å³/f.u.): 77.5

# 2
Below is a geometry-optimized CdIn2Fe structure, with properties calculated at the GGA-PBEsol level.

a b c (Å): 2.9793 2.9793 8.8545
angles (deg): 90.00 90.00 90.00
Closest atoms and distances in Å follow each position.
Sites, in units of the cell vectors:
Cd: 0.0000 0.0000 0.5443  4 Fe 2.77, 4 Cd 2.98
Fe: 0.5000 0.5000 0.7473  4 In 2.77, 4 Cd 2.77, 4 Fe 2.98
In: 0.0000 0.0000 0.9504  4 Fe 2.77, 4 In 2.98
In: 0.5000 0.5000 0.2580  4 In 2.98, 4 Cd 3.30

Calculated values
Energy of formation from the pure elements (meV per atom): 244
SG: No. 99
Fermi-level density of states (states/eV per atom): 0.770
V (Å³/f.u.): 78.6

# 3
Below is a geometry-optimized CdInFe structure, with properties calculated at the GGA-PBEsol level.

a b c (Å): 2.9404 4.5399 4.5399
angles (deg): 120.00 90.00 90.00
Closest atoms and distances in Å follow each position.
Sites, in units of the cell vectors:
Cd: 0.9979 0.0000 0.0000  3 Fe 2.82, 3 In 2.82, 2 Cd 2.94
Fe: 0.6459 0.6667 0.3333  3 In 2.76, 3 Cd 2.82, 2 Fe 2.94
In: 0.3561 0.3333 0.6667  3 Fe 2.76, 3 Cd 2.82, 2 In 2.94

Calculated values
Energy of formation from the pure elements (meV per atom): 417
SG: No. 156
Fermi-level density of states (states/eV per atom): 1.118
V (Å³/f.u.): 52.5

# 4
Below is a geometry-optimized CdFeIr4 structure, with properties calculated at the GGA-PBEsol level.

a b c (Å): 5.1355 5.1355 5.1355
angles (deg): 60.00 60.00 60.00
Closest atoms and distances in Å follow each position.
Sites, in units of the cell vectors:
Cd: 0.7500 0.7500 0.7500  12 Ir 3.01, 4 Fe 3.14
Ir: 0.3749 0.3749 0.3749  6 Ir 2.57
Ir: 0.8754 0.3749 0.3749  6 Ir 2.57
Ir: 0.3749 0.3749 0.8754  6 Ir 2.57
Ir: 0.3749 0.8754 0.3749  6 Ir 2.57
Fe: 0.0000 0.0000 0.0000  12 Ir 3.01, 4 Cd 3.14

Calculated values
Energy of formation from the pure elements (meV per atom): 459
SG: No. 216
Fermi-level density of states (states/eV per atom): 1.168
V (Å³/f.u.): 95.8

Question: What is the Fermi-level density of states in the second record?
Answer: 0.770 states/eV per atom

Question: Fermi-level density of states of number 3 (CdInFe)?
Answer: 1.118 states/eV per atom

Question: Which of these has the highest Fermi-level density of states?
Answer: CdFeIr4